Entry 1:
# NaNiP2HO7

NaNiP2HO7 after structural relaxation (PBE+U, Alexandria).

Cell: 6.5721 6.5334 6.6696 Å, 95.69 112.70 88.08°
Atoms (fractional coordinates):
1 O 0.2387 0.9608 0.9011
2 O 0.7228 0.3014 0.7834
3 Ni 0.7148 0.3563 0.1113
4 P 0.1620 0.6206 0.3645
5 O 0.6706 0.3790 0.4034
6 O 0.0154 0.2059 0.6297
7 O 0.9554 0.5800 0.7466
8 P 0.8380 0.3794 0.6355
9 O 0.2772 0.6986 0.2166
10 Na 0.6870 0.8366 0.7366
11 P 0.2614 0.1410 0.7835
12 O 0.6359 0.6693 0.0503
13 Ni 0.2852 0.6437 0.8887
14 H 0.4298 0.7844 0.2989
15 Na 0.3130 0.1634 0.2634
16 O 0.3294 0.6210 0.5966
17 O 0.3641 0.3307 0.9497
18 O 0.6165 0.9046 0.3707
19 O 0.0446 0.4200 0.2534
20 H 0.5702 0.2156 0.7011
21 P 0.7386 0.8590 0.2165
22 O 0.3835 0.0954 0.6293
23 O 0.7613 0.0392 0.0989
24 O 0.9846 0.7941 0.3703

Output
Total DFT energy (no corrections) in eV per formula unit: -75.9

=====

Entry 2:
# Na2Ni3P2H2O10

Na2Ni3P2H2O10 after structural relaxation (PBE+U, Alexandria).

Cell: 7.7126 7.7126 4.9900 Å, 76.72 76.72 43.78°
Atoms (fractional coordinates):
1 Na 0.2333 0.2333 0.7112
2 O 0.5947 0.5947 0.2279
3 Na 0.7667 0.7667 0.2888
4 O 0.1869 0.6357 0.2182
5 H 0.1434 0.1434 0.2441
6 O 0.7367 0.7367 0.8069
7 H 0.8566 0.8566 0.7559
8 O 0.3643 0.8131 0.7818
9 O 0.6357 0.1869 0.2182
10 O 0.9278 0.9278 0.7124
11 O 0.4053 0.4053 0.7721
12 Ni 0.2667 0.7333 0.5000
13 P 0.3742 0.3742 0.0970
14 P 0.6258 0.6258 0.9030
15 Ni 0.0000 0.0000 0.0000
16 O 0.2633 0.2633 0.1931
17 O 0.0722 0.0722 0.2876
18 Ni 0.7333 0.2667 0.5000
19 O 0.8131 0.3643 0.7818

Output
Total DFT energy (no corrections) in eV per formula unit: -110.4

=====

Entry 3:
# NaNi2H3Se2O10

NaNi2H3Se2O10 after structural relaxation (PBE+U, Alexandria).

Cell: 5.5006 5.5006 7.6088 Å, 69.90 69.90 70.78°
Atoms (fractional coordinates):
1 H 0.4907 0.4907 0.0066
2 Ni 0.4980 0.9959 0.0011
3 Ni 0.9959 0.4980 0.0011
4 Na 0.4975 0.4975 0.5021
5 O 0.2443 0.8117 0.2517
6 O 0.8147 0.8147 0.1406
7 O 0.6466 0.6466 0.9232
8 O 0.2319 0.2319 0.4882
9 O 0.7632 0.7632 0.5147
10 O 0.3469 0.3469 0.0825
11 O 0.1813 0.1813 0.8617
12 Se 0.0844 0.0844 0.7094
13 O 0.8117 0.2443 0.2517
14 H 0.3095 0.3095 0.2247
15 H 0.6836 0.6836 0.7814
16 O 0.7510 0.1838 0.7517
17 O 0.1838 0.7510 0.7517
18 Se 0.9108 0.9108 0.2937

Output
Total DFT energy (no corrections) in eV per formula unit: -91.6

=====

no.,spin magnetization (Bohr magnetons per cell)
1,3.85
2,6.00
3,4.00